[1]
The following is a PBE calculation of a relaxed structure of PmSc3Se, from OQMD via LeMat-Bulk.

Geometry as POSCAR:
```
PmSc3Se
1.0
5.0965 0.0000 0.0000
0.0000 5.0965 0.0000
0.0000 0.0000 5.0965
Pm Sc Se
1 3 1
direct
0.0000 0.0000 0.0000
0.0000 0.5000 0.5000
0.5000 0.0000 0.5000
0.5000 0.5000 0.0000
0.5000 0.5000 0.5000
```

Results
**Calculated total energy**: -5.841 eV per atom
**Size of the total moment**: 1.2 Bohr magnetons per cell

[2]
The following is a PBE calculation of a relaxed structure of ErTm2Zn3Cu3, from OQMD via LeMat-Bulk.

Geometry as POSCAR:
```
ErTm2Zn3Cu3
1.0
3.8468 0.0000 0.0000
0.0000 6.0639 3.5009
0.0000 -6.0639 3.5009
Er Tm Zn Cu
1 2 3 3
direct
0.0000 0.0000 0.0000
0.0000 0.1757 0.5877
0.0000 0.5877 0.1757
0.5000 0.3444 0.3444
0.5000 0.5872 0.8311
0.5000 0.8311 0.5872
0.0000 0.5871 0.5871
0.5000 0.2552 0.9207
0.5000 0.9207 0.2552
```

Results
**Calculated total energy**: -3.512 eV per atom
**Size of the total moment**: 0.0 Bohr magnetons per cell

[3]
The following is a PBE calculation of a relaxed structure of Nb4SnC2N, from OQMD via LeMat-Bulk.

Geometry as POSCAR:
```
Nb4SnC2N
1.0
3.1969 0.0000 0.0000
-1.5985 2.7686 0.0000
0.0000 0.0000 12.4205
Nb Sn C N
4 1 2 1
direct
0.0000 0.0000 0.1165
0.0000 0.0000 0.8835
0.3333 0.6667 0.3061
0.3333 0.6667 0.6939
0.0000 0.0000 0.5000
0.6667 0.3333 0.2148
0.6667 0.3333 0.7852
0.3333 0.6667 0.0000
```

Results
**Calculated total energy**: -9.460 eV per atom
**Size of the total moment**: 0.0 Bohr magnetons per cell

[4]
The following is a PBE calculation of a relaxed structure of Co9As, from OQMD via LeMat-Bulk.

Geometry as POSCAR:
```
Co9As
1.0
2.5155 0.0000 0.0000
0.0000 2.5155 0.0000
0.0000 0.0000 46.9738
Co As
18 2
direct
0.2500 0.2500 0.0173
0.2500 0.2500 0.0901
0.2500 0.2500 0.1630
0.2500 0.2500 0.2355
0.2500 0.2500 0.3086
0.2500 0.2500 0.7276
0.2500 0.2500 0.8005
0.2500 0.2500 0.8733
0.2500 0.2500 0.9458
0.7500 0.7500 0.0542
0.7500 0.7500 0.1267
0.7500 0.7500 0.1995
0.7500 0.7500 0.2724
0.7500 0.7500 0.6914
0.7500 0.7500 0.7645
0.7500 0.7500 0.8370
0.7500 0.7500 0.9099
0.7500 0.7500 0.9827
0.2500 0.2500 0.6534
0.7500 0.7500 0.3466
```

Results
**Calculated total energy**: -6.740 eV per atom
**Size of the total moment**: 20.4 Bohr magnetons per cell

[5]
The following is a PBE calculation of a relaxed structure of Sr2AgPd, from OQMD via LeMat-Bulk.

Geometry as POSCAR:
```
Sr2AgPd
1.0
6.2370 0.0000 0.0000
0.0000 4.6571 0.0000
-3.0017 0.0000 8.0859
Sr Ag Pd
4 2 2
direct
0.2169 0.2500 0.4357
0.2280 0.2500 0.9255
0.7720 0.7500 0.0745
0.7831 0.7500 0.5643
0.3524 0.7500 0.2151
0.6476 0.2500 0.7849
0.3597 0.7500 0.7141
0.6403 0.2500 0.2859
```

Results
**Calculated total energy**: -3.324 eV per atom

[6]
The following is a PBE calculation of a relaxed structure of GaCuNiPb, from OQMD via LeMat-Bulk.

Geometry as POSCAR:
```
GaCuNiPb
1.0
0.0000 3.2194 3.2194
3.2194 0.0000 3.2194
3.2194 3.2194 0.0000
Ga Cu Ni Pb
1 1 1 1
direct
0.0000 0.0000 0.0000
0.7500 0.7500 0.7500
0.2500 0.2500 0.2500
0.5000 0.5000 0.5000
```

Results
**Energy above the lowest structure with this stoichiometry**: 0 meV per atom
**Size of the total moment**: 0.0 Bohr magnetons per cell

[7]
The following is a PBE calculation of a relaxed structure of BaHoSn, from OQMD via LeMat-Bulk.

Geometry as POSCAR:
```
BaHoSn
1.0
0.0000 3.7837 3.7837
3.7837 0.0000 3.7837
3.7837 3.7837 0.0000
Ba Ho Sn
1 1 1
direct
0.0000 0.0000 0.0000
0.2500 0.2500 0.2500
0.5000 0.5000 0.5000
```

Results
**Calculated total energy**: -3.482 eV per atom
**Size of the total moment**: 0.0 Bohr magnetons per cell

[8]
The following is a PBE calculation of a relaxed structure of SmGd2DyTl2, from OQMD via LeMat-Bulk.

Geometry as POSCAR:
```
SmGd2DyTl2
1.0
5.4447 0.0000 0.0000
-2.7223 4.7152 0.0000
0.0000 0.0000 6.7832
Sm Gd Dy Tl
1 2 1 2
direct
0.0000 0.0000 0.0000
0.6667 0.3333 0.2552
0.6667 0.3333 0.7448
0.3333 0.6667 0.5000
0.0000 0.0000 0.5000
0.3333 0.6667 0.0000
```

Results
**Calculated total energy**: -4.158 eV per atom
**Size of the total moment**: 1.4 Bohr magnetons per cell

[9]
The following is a PBE calculation of a relaxed structure of Y3Al2Sn2IrPd, from OQMD via LeMat-Bulk.

Geometry as POSCAR:
```
Y3Al2Sn2IrPd
1.0
4.4101 0.0000 0.0000
0.0000 6.1471 3.6405
0.0000 -6.1471 3.6405
Y Al Sn Ir Pd
3 2 2 1 1
direct
0.0000 0.0000 0.0000
0.0000 0.4168 0.7989
0.0000 0.7989 0.4168
0.5000 0.2037 0.4206
0.5000 0.4206 0.2037
0.5000 0.0768 0.7415
0.5000 0.7415 0.0768
0.0000 0.3707 0.3707
0.5000 0.6465 0.6465
```

Results
**Calculated total energy**: -6.251 eV per atom
**Size of the total moment**: 0.0 Bohr magnetons per cell

[10]
The following is a PBE calculation of a relaxed structure of HfCuGeOs, from OQMD via LeMat-Bulk.

Geometry as POSCAR:
```
HfCuGeOs
1.0
0.0000 3.1428 3.1428
3.1428 0.0000 3.1428
3.1428 3.1428 0.0000
Hf Cu Ge Os
1 1 1 1
direct
0.0000 0.0000 0.0000
0.7500 0.7500 0.7500
0.5000 0.5000 0.5000
0.2500 0.2500 0.2500
```

Results
**Energy above the lowest structure with this stoichiometry**: 0 meV per atom
**Size of the total moment**: 0.0 Bohr magnetons per cell

[11]
The following is a PBE calculation of a relaxed structure of BaZnAsO, from OQMD via LeMat-Bulk.

Geometry as POSCAR:
```
BaZnAsO
1.0
4.0823 0.0000 0.0000
0.0000 7.1640 0.0000
0.0000 0.0000 5.9928
Ba Zn As O
2 2 2 2
direct
0.0000 0.1509 0.0000
0.0000 0.8491 0.5000
0.5000 0.2114 0.5002
0.5000 0.7886 0.0002
0.0000 0.4120 0.5011
0.0000 0.5880 0.0011
0.5000 0.0000 0.2495
0.5000 0.0000 0.7495
```

Results
**Calculated total energy**: -4.429 eV per atom

[12]
The following is a PBE calculation of a relaxed structure of NbZnIn, from OQMD via LeMat-Bulk.

Geometry as POSCAR:
```
NbZnIn
1.0
0.0000 3.2238 3.2238
3.2238 0.0000 3.2238
3.2238 3.2238 0.0000
Nb Zn In
1 1 1
direct
0.0000 0.0000 0.0000
0.2500 0.2500 0.2500
0.7500 0.7500 0.7500
```

Results
**Calculated total energy**: -4.046 eV per atom
**Size of the total moment**: 0.0 Bohr magnetons per cell